No. 1
AlTcIr2: optimized geometry, GGA-PBE.

a = 2.7923 Å, b = 2.7923 Å, c = 25.5703 Å
α = 90.00°, β = 90.00°, γ = 120.00°
With the nearest neighbours (Å) after each atom.
Space group R-3m (No. 166, hexagonal axes)
One atom of each set of equivalent atoms:
Al: 0.0000 0.0000 0.0000 [3 per cell]  6 Ir 2.63, 6 Al 2.79
Tc: 0.0000 0.0000 0.5000 [3 per cell]  6 Ir 2.71, 6 Tc 2.79
Ir: 0.0000 0.0000 0.2520 [6 per cell]  3 Al 2.63, 3 Tc 2.71, 6 Ir 2.79

Energy of formation ... -0.330 eV/atom
Fermi-level density of states ... 1.2007 states/eV per atom
Electronic total energy ... -99.45 eV for the cell shown
Magnetic moment ... 0.0 μB per formula unit
Volume ... 172.7 Å³/cell

---

No. 2
Y2SeN: optimized geometry, GGA-PBE.

a = 3.6594 Å, b = 3.6594 Å, c = 19.9092 Å
α = 90.00°, β = 90.00°, γ = 120.00°
With the nearest neighbours (Å) after each atom.
Space group R3m (No. 160, hexagonal axes)
One atom of each set of equivalent atoms:
Y: 0.0000 0.0000 0.0000 [3 per cell]  3 N 2.44
Y: 0.0000 0.0000 0.2017 [3 per cell]  3 N 2.53
Se: 0.0000 0.0000 0.4344 [3 per cell]  6 Y 2.91-2.92
N: 0.0000 0.0000 0.6050 [3 per cell]  6 Y 2.44-2.53

Fermi-level density of states ... 0.5873 states/eV per atom
Electronic total energy ... -94.29 eV for the cell shown
Polymorph energy (0 for the lowest one) ... 37 meV per atom
Magnetic moment ... 0.0 μB per formula unit
Volume ... 230.9 Å³/cell
Formation energy from raw total energies ... -1.6732 eV/atom

---

No. 3
CsScPd2: optimized geometry, GGA-PBE.

a = 7.8972 Å, b = 7.8972 Å, c = 7.8729 Å
α = 90.00°, β = 90.00°, γ = 90.00°
With the nearest neighbours (Å) after each atom.
Space group I-42d (No. 122)
One atom of each set of equivalent atoms:
Cs: 0.0000 0.0000 0.0000 [4 per cell]  8 Pd 3.42-3.79
Sc: 0.0000 0.0000 0.5000 [4 per cell]  4 Pd 2.58
Pd: 0.1689 0.2500 0.6250 [8 per cell]  2 Sc 2.58

Energy of formation ... 0.062 eV/atom
Fermi-level density of states ... 0.0000 states/eV per atom
Electronic total energy ... -69.29 eV for the cell shown
Polymorph energy (0 for the lowest one) ... 0 meV per atom
Magnetic moment ... 0.0 μB per formula unit
Volume ... 491.0 Å³/cell

---

No. 4
Be2CrAg: optimized geometry, GGA-PBE.

a = 5.8455 Å, b = 5.8455 Å, c = 5.8455 Å
α = 90.00°, β = 90.00°, γ = 90.00°
With the nearest neighbours (Å) after each atom.
Space group F-43m (No. 216)
One atom of each set of equivalent atoms:
Be: 0.0000 0.0000 0.0000 [4 per cell]  4 Be 2.53, 4 Ag 2.53
Be: 0.2500 0.2500 0.2500 [4 per cell]  4 Cr 2.53, 4 Be 2.53
Cr: 0.0000 0.0000 0.5000 [4 per cell]  4 Be 2.53, 4 Ag 2.53
Ag: 0.2500 0.2500 0.7500 [4 per cell]  4 Cr 2.53, 4 Be 2.53

Energy of formation ... 0.437 eV/atom
Fermi-level density of states ... 0.4621 states/eV per atom
Electronic total energy ... -72.71 eV for the cell shown
Polymorph energy (0 for the lowest one) ... 226 meV per atom
Magnetic moment ... 2.8 μB per formula unit
Volume ... 199.7 Å³/cell

---

No. 5
LiAg: optimized geometry, GGA-PBE.

a = 5.2419 Å, b = 5.2419 Å, c = 5.2419 Å
α = 90.00°, β = 90.00°, γ = 90.00°
With the nearest neighbours (Å) after each atom.
Space group Fm-3m (No. 225)
One atom of each set of equivalent atoms:
Li: 0.0000 0.0000 0.0000 [4 per cell]  6 Ag 2.62
Ag: 0.0000 0.0000 0.5000 [4 per cell]  6 Li 2.62

Energy of formation ... 0.047 eV/atom
Fermi-level density of states ... 0.3812 states/eV per atom
Electronic total energy ... -18.68 eV for the cell shown
Magnetic moment ... 0.0 μB per formula unit
Volume ... 144.0 Å³/cell

---

No. 6
Tm2HSe2: optimized geometry, GGA-PBE.

a = 11.8694 Å, b = 5.6301 Å, c = 7.9828 Å
α = 90.00°, β = 128.17°, γ = 90.00°
With the nearest neighbours (Å) after each atom.
Space group C2/m (No. 12)
One atom of each set of equivalent atoms:
Tm: 0.0779 0.0000 0.3420 [4 per cell]  2 H 2.19-2.30
Tm: 0.1759 0.5000 0.0680 [4 per cell]  1 H 2.13
H: 0.1094 0.0000 0.6427 [4 per cell]  3 Tm 2.13-2.30, 1 H 2.15
Se: 0.0995 0.5000 0.3427 [4 per cell]  5 Tm 2.83-3.01
Se: 0.1774 0.0000 0.0910 [4 per cell]  5 Tm 2.71-2.89

Fermi-level density of states ... 0.2624 states/eV per atom
Electronic total energy ... -105.50 eV for the cell shown
Magnetic moment ... 0.0 μB per formula unit
Volume ... 419.4 Å³/cell

---

No. 7
Al2VTc2: optimized geometry, GGA-PBE.

a = 6.7168 Å, b = 6.7168 Å, c = 3.3264 Å
α = 90.00°, β = 90.00°, γ = 90.00°
With the nearest neighbours (Å) after each atom.
Space group P4/mbm (No. 127)
One atom of each set of equivalent atoms:
Al: 0.1435 0.3565 0.0000 [4 per cell]  6 Tc 2.52-2.62, 1 Al 2.73
V: 0.0000 0.0000 0.5000 [2 per cell]  4 Tc 2.53
Tc: 0.1571 0.6571 0.5000 [4 per cell]  6 Al 2.52-2.62, 2 V 2.53

Energy of formation ... -0.081 eV/atom
Fermi-level density of states ... 0.3187 states/eV per atom
Electronic total energy ... -75.48 eV for the cell shown
Polymorph energy (0 for the lowest one) ... 78 meV per atom
Magnetic moment ... 0.0 μB per formula unit
Volume ... 150.1 Å³/cell

---

No. 8
CsMn4: optimized geometry, GGA-PBE.

a = 5.0226 Å, b = 5.0226 Å, c = 5.0226 Å
α = 90.00°, β = 90.00°, γ = 90.00°
With the nearest neighbours (Å) after each atom.
Space group Pm-3m (No. 221)
One atom of each set of equivalent atoms:
Cs: 0.0000 0.0000 0.0000 [1 per cell]  6 Mn 2.51
Mn: 0.0000 0.0000 0.5000 [3 per cell]  2 Cs 2.51
Mn: 0.5000 0.5000 0.5000 [1 per cell]  12 Mn 3.55

Energy of formation ... 2.493 eV/atom
Fermi-level density of states ... 0.6284 states/eV per atom
Electronic total energy ... -25.07 eV for the cell shown
Magnetic moment ... 15.0 μB per formula unit
Volume ... 126.7 Å³/cell